[1]
Ca2MgAs3Pd4 | PBE | optimized geometry

The structure belongs to space group P-4m2 (No. 115); the cell edges are 4.211, 4.211 and 10.979 Å and the angles 90.00°, 90.00° and 90.00°. The asymmetric unit holds Ca at (0.000, 0.500, 0.234), Mg at (0.000, 0.000, 0.500), As at (0.000, 0.500, 0.867), As at (0.500, 0.500, 0.500), Pd at (0.000, 0.000, 0.000), Pd at (0.000, 0.500, 0.644) and Pd at (0.500, 0.500, 0.000).

The value obtained for the magnetization is 0.0 Bohr magnetons per cell.

---

[2]
CaMgAs2Pd5 | PBE | optimized geometry

The structure belongs to space group P4/mmm (No. 123); the cell edges are 4.558, 4.558 and 7.952 Å and the angles 90.00°, 90.00° and 90.00°. The asymmetric unit holds Ca at (0.000, 0.000, 0.000), Mg at (0.000, 0.000, 0.500), As at (0.500, 0.500, 0.343), Pd at (0.000, 0.500, 0.238) and Pd at (0.500, 0.500, 0.000).

The value obtained for the magnetization is 0.0 Bohr magnetons per cell.

---

[3]
Ca2MgAs4Pt3 | PBE | optimized geometry

The structure belongs to space group P-4m2 (No. 115); the cell edges are 4.338, 4.338 and 10.699 Å and the angles 90.00°, 90.00° and 90.00°. The asymmetric unit holds Ca at (0.000, 0.500, 0.242), Mg at (0.000, 0.000, 0.500), As at (0.000, 0.000, 0.000), As at (0.000, 0.500, 0.644), As at (0.500, 0.500, 0.000), Pt at (0.000, 0.500, 0.875) and Pt at (0.500, 0.500, 0.500).

The value obtained for the magnetization is 0.0 Bohr magnetons per cell.

---

In order of appearance, calculated formation energy = -0.78; -0.53; -0.78 eV/atom.